Entry 1:
Computed, not measured: KIn2Co after structural relaxation at the GGA-PBE level of DFT.

extended XYZ file:
```
4
Lattice="-1.5225 2.9684 5.6388 1.5225 -2.9684 5.6388 1.5225 2.9684 -5.6388" Properties=species:S:1:pos:R:3 pbc="T T T"
K 0.0000 0.0000 0.0000
In 1.5225 0.0000 3.4935
In 0.0000 2.9684 2.1453
Co 0.0000 0.0000 5.6388
```

Results
Magnetization   0.843 μB per formula unit
DFT formation energy   0.3240 eV/atom
DOS(E_F)   3.56 states/eV/f.u.


Entry 2:
Computed, not measured: KInCo2 after structural relaxation at the GGA-PBE level of DFT.

extended XYZ file:
```
4
Lattice="3.1350 0.0000 0.0000 0.0000 3.5170 0.0000 -0.0594 0.0000 7.9895" Properties=species:S:1:pos:R:3 pbc="T T T"
K 0.0000 0.0000 0.0000
In 1.5084 1.7585 5.1204
Co 1.5068 0.0000 2.9714
Co 3.0732 1.7585 2.8772
```

Results
Magnetization   3.094 μB per formula unit
DFT formation energy   0.3874 eV/atom
DOS(E_F)   3.09 states/eV/f.u.


Entry 3:
Computed, not measured: KIn2Co after structural relaxation at the GGA-PBE level of DFT.

extended XYZ file:
```
8
Lattice="-3.1832 3.1832 7.3568 3.1832 -3.1832 7.3568 3.1832 3.1832 -7.3568" Properties=species:S:1:pos:R:3 pbc="T T T"
K 0.0000 0.0000 0.0000
K 0.0000 3.1832 3.6784
In 1.5916 3.1746 -1.8392
In 3.1918 1.5916 1.8392
In 1.5916 0.0086 5.5176
In -0.0086 1.5916 9.1960
Co 3.1832 0.0000 3.6784
Co 0.0000 0.0000 7.3568
```

Results
Magnetization   0.000 μB per formula unit
DFT formation energy   0.2945 eV/atom
DOS(E_F)   0.72 states/eV/f.u.


Entry 4:
Computed, not measured: KInCo2 after structural relaxation at the GGA-PBE level of DFT.

extended XYZ file:
```
4
Lattice="3.1078 0.0000 0.0000 0.0000 3.1078 0.0000 0.0000 0.0000 8.4092" Properties=species:S:1:pos:R:3 pbc="T T T"
K 0.0000 0.0000 0.0000
In 1.5539 1.5539 5.4222
Co 0.0000 0.0000 3.5211
Co 1.5539 1.5539 2.6316
```

Results
Magnetization   3.068 μB per formula unit
DFT formation energy   0.3882 eV/atom
DOS(E_F)   4.21 states/eV/f.u.


Entry 5:
Computed, not measured: KInCo2 after structural relaxation at the GGA-PBE level of DFT.

extended XYZ file:
```
8
Lattice="-2.3754 2.3754 9.2276 2.3754 -2.3754 9.2276 2.3754 2.3754 -9.2276" Properties=species:S:1:pos:R:3 pbc="T T T"
K 2.3754 1.1877 2.3069
K 0.0000 1.1877 6.9207
In 2.3754 -1.1877 6.9207
In 0.0000 3.5630 2.3069
Co 0.0000 0.0000 0.0000
Co 1.1877 1.1877 -4.6138
Co 1.1877 -1.1877 4.6138
Co 0.0000 2.3754 0.0000
```

Results
Magnetization   2.963 μB per formula unit
DFT formation energy   0.7307 eV/atom
DOS(E_F)   3.27 states/eV/f.u.


Entry 6:
Computed, not measured: KInCo2 after structural relaxation at the GGA-PBE level of DFT.

extended XYZ file:
```
4
Lattice="3.6005 -2.0782 0.0000 3.6005 2.0782 0.0000 -2.3870 0.0000 6.5354" Properties=species:S:1:pos:R:3 pbc="T T T"
K 0.0000 0.0000 0.0000
In 4.8035 0.0000 2.8388
Co 0.0029 0.0000 3.9446
Co 2.4035 0.0000 3.9311
```

Results
Magnetization   2.902 μB per formula unit
DFT formation energy   0.3498 eV/atom
DOS(E_F)   3.34 states/eV/f.u.


Entry 7:
Computed, not measured: K3InCo after structural relaxation at the GGA-PBE level of DFT.

extended XYZ file:
```
5
Lattice="6.2829 0.0000 0.0000 0.0000 6.2829 0.0000 0.0000 0.0000 6.2829" Properties=species:S:1:pos:R:3 pbc="T T T"
K 0.0000 0.0000 3.1414
K 0.0000 3.1414 0.0000
K 3.1414 0.0000 0.0000
In 3.1414 3.1414 3.1414
Co 0.0000 0.0000 0.0000
```

Results
Magnetization   1.144 μB per formula unit
DFT formation energy   0.7859 eV/atom
DOS(E_F)   22.53 states/eV/f.u.


Entry 8:
Computed, not measured: KInCo2 after structural relaxation at the GGA-PBE level of DFT.

extended XYZ file:
```
4
Lattice="1.5110 0.8724 9.5874 -1.5110 0.8724 9.5874 0.0000 -1.7448 9.5874" Properties=species:S:1:pos:R:3 pbc="T T T"
K 0.0000 0.0000 0.0000
In 0.0000 0.0000 14.3811
Co 0.0000 0.0000 6.8247
Co 0.0000 0.0000 21.9375
```

Results
Magnetization   2.054 μB per formula unit
DFT formation energy   0.9004 eV/atom
DOS(E_F)   4.90 states/eV/f.u.


Entry 9:
Computed, not measured: KInCo2 after structural relaxation at the GGA-PBE level of DFT.

extended XYZ file:
```
4
Lattice="2.9668 0.0000 0.0000 0.0000 4.8278 0.0000 0.0000 0.0000 5.3566" Properties=species:S:1:pos:R:3 pbc="T T T"
K 0.0000 0.0000 0.0000
In 1.4834 0.0000 2.6783
Co 0.0000 2.4139 2.6783
Co 1.4834 2.4139 0.0000
```

Results
Magnetization   3.005 μB per formula unit
DFT formation energy   1.0559 eV/atom
DOS(E_F)   6.63 states/eV/f.u.


Entry 10:
Computed, not measured: KInCo2 after structural relaxation at the GGA-PBE level of DFT.

extended XYZ file:
```
4
Lattice="3.4818 0.0000 0.0000 0.0000 3.4818 0.0000 0.0000 0.0000 7.3317" Properties=species:S:1:pos:R:3 pbc="T T T"
K 0.0000 0.0000 0.0000
In 0.0000 0.0000 3.6659
Co 1.7409 1.7409 2.5612
Co 1.7409 1.7409 4.7705
```

Results
Magnetization   2.894 μB per formula unit
DFT formation energy   0.6320 eV/atom
DOS(E_F)   3.21 states/eV/f.u.


Entry 11:
Computed, not measured: KInCo2 after structural relaxation at the GGA-PBE level of DFT.

extended XYZ file:
```
4
Lattice="-2.4073 2.4073 3.3624 2.4073 -2.4073 3.3624 2.4073 2.4073 -3.3624" Properties=species:S:1:pos:R:3 pbc="T T T"
K 0.0000 0.0000 0.0000
In 0.0000 2.4073 1.6812
Co 2.4073 0.0000 1.6812
Co 0.0000 0.0000 3.3624
```

Results
Magnetization   3.175 μB per formula unit
DFT formation energy   0.9967 eV/atom
DOS(E_F)   4.10 states/eV/f.u.


Entry 12:
Computed, not measured: KInCo3 after structural relaxation at the GGA-PBE level of DFT.

extended XYZ file:
```
5
Lattice="4.9761 0.0000 0.0000 0.0000 4.9761 0.0000 0.0000 0.0000 4.9761" Properties=species:S:1:pos:R:3 pbc="T T T"
K 0.0000 0.0000 0.0000
In 2.4880 2.4880 2.4880
Co 0.0000 2.4880 2.4880
Co 2.4880 0.0000 2.4880
Co 2.4880 2.4880 0.0000
```

Results
Magnetization   5.301 μB per formula unit
DFT formation energy   1.3247 eV/atom
DOS(E_F)   6.98 states/eV/f.u.


Entry 13:
Computed, not measured: KIn2Co after structural relaxation at the GGA-PBE level of DFT.

extended XYZ file:
```
4
Lattice="3.2386 0.0000 0.0000 0.0000 3.9900 0.0000 0.0000 0.0000 8.3984" Properties=species:S:1:pos:R:3 pbc="T T T"
K 0.0000 0.0000 0.0000
In 0.0000 0.0000 3.3492
In 1.6193 1.9950 5.6725
Co 1.6193 1.9950 3.1135
```

Results
Magnetization   0.001 μB per formula unit
DFT formation energy   0.2328 eV/atom
DOS(E_F)   3.02 states/eV/f.u.


Entry 14:
Computed, not measured: KIn2Co after structural relaxation at the GGA-PBE level of DFT.

extended XYZ file:
```
4
Lattice="3.2563 0.0000 0.0000 0.0000 3.2563 0.0000 0.0000 0.0000 8.7802" Properties=species:S:1:pos:R:3 pbc="T T T"
K 0.0000 0.0000 0.0000
In 1.6281 1.6281 2.8455
In 1.6281 1.6281 5.9347
Co 0.0000 0.0000 4.3901
```

Results
Magnetization   0.598 μB per formula unit
DFT formation energy   0.1457 eV/atom
DOS(E_F)   3.62 states/eV/f.u.


Entry 15:
Computed, not measured: KInCo2 after structural relaxation at the GGA-PBE level of DFT.

extended XYZ file:
```
4
Lattice="3.3148 0.0000 0.0000 0.0000 4.7342 0.0000 -0.6770 0.0000 6.6031" Properties=species:S:1:pos:R:3 pbc="T T T"
K 0.0000 0.0000 0.0000
In 1.3189 0.0000 3.3015
Co 0.4743 2.3671 4.0138
Co 2.1635 2.3671 2.5893
```

Results
Magnetization   3.223 μB per formula unit
DFT formation energy   0.5810 eV/atom
DOS(E_F)   3.70 states/eV/f.u.


Entry 16:
Computed, not measured: KIn2Co after structural relaxation at the GGA-PBE level of DFT.

extended XYZ file:
```
4
Lattice="3.1862 -5.1140 0.0000 3.1862 5.1140 0.0000 -0.0221 0.0000 2.9992" Properties=species:S:1:pos:R:3 pbc="T T T"
K 0.0000 0.0000 0.0000
In 1.5820 2.5570 1.4996
In 1.5820 -2.5570 1.4996
Co 3.1862 0.0000 0.0000
```

Results
Magnetization   1.760 μB per formula unit
DFT formation energy   0.6102 eV/atom
DOS(E_F)   4.12 states/eV/f.u.


Entry 17:
Computed, not measured: KIn2Co2 after structural relaxation at the GGA-PBE level of DFT.

extended XYZ file:
```
10
Lattice="8.0791 0.0000 0.0000 0.0000 8.0791 0.0000 0.0000 0.0000 2.8965" Properties=species:S:1:pos:R:3 pbc="T T T"
K 0.0000 0.0000 0.0000
K 4.0395 4.0395 0.0000
In 1.2028 2.8367 1.4482
In 2.8367 6.8763 1.4482
In 5.2423 1.2028 1.4482
In 6.8763 5.2423 1.4482
Co 1.1369 5.1765 0.0000
Co 2.9026 1.1369 0.0000
Co 5.1765 6.9421 0.0000
Co 6.9421 2.9026 0.0000
```

Results
Magnetization   0.910 μB per formula unit
DFT formation energy   0.3481 eV/atom
DOS(E_F)   5.89 states/eV/f.u.


Entry 18:
Computed, not measured: KInCo3 after structural relaxation at the GGA-PBE level of DFT.

extended XYZ file:
```
5
Lattice="4.5251 0.0000 0.0000 0.0000 4.5251 0.0000 0.0000 0.0000 4.5251" Properties=species:S:1:pos:R:3 pbc="T T T"
K 0.0000 0.0000 0.0000
In 2.2625 2.2625 2.2625
Co 0.0000 0.0000 2.2625
Co 0.0000 2.2625 0.0000
Co 2.2625 0.0000 0.0000
```

Results
Magnetization   3.746 μB per formula unit
DFT formation energy   2.1511 eV/atom
DOS(E_F)   11.99 states/eV/f.u.


Entry 19:
Computed, not measured: KInCo2 after structural relaxation at the GGA-PBE level of DFT.

extended XYZ file:
```
4
Lattice="2.2010 1.2708 6.1225 -2.2010 1.2708 6.1225 0.0000 -2.5415 6.1225" Properties=species:S:1:pos:R:3 pbc="T T T"
K 0.0000 0.0000 0.0000
In 0.0000 0.0000 9.1837
Co 0.0000 0.0000 3.1481
Co 0.0000 0.0000 15.2194
```

Results
Magnetization   2.297 μB per formula unit
DFT formation energy   0.3672 eV/atom
DOS(E_F)   4.14 states/eV/f.u.


Entry 20:
Computed, not measured: KInCo2 after structural relaxation at the GGA-PBE level of DFT.

extended XYZ file:
```
4
Lattice="3.6321 -3.6499 0.0000 3.6321 3.6499 0.0000 0.0000 0.0000 2.8372" Properties=species:S:1:pos:R:3 pbc="T T T"
K 0.0000 0.0000 0.0000
In 3.6321 0.0000 0.0000
Co 1.8160 1.8250 1.4186
Co 1.8160 -1.8250 1.4186
```

Results
Magnetization   2.958 μB per formula unit
DFT formation energy   0.9644 eV/atom
DOS(E_F)   5.54 states/eV/f.u.